## Y4O (PBE-GGA)

Data for crystalline Y4O at its relaxed geometry.

Cell lengths 11.7239, 5.2475, 10.4204 Å; angles 90.00, 116.67, 90.00 degrees
Closest atoms and distances in Å follow each position.
Space group C2/c (No. 15)
Symmetry-distinct sites (fractional):
Y: 0.1203 0.0090 0.1877  1 O 2.21
Y: 0.1216 0.4965 0.4338  1 O 2.21
O: 0.0000 0.2533 0.2500  4 Y 2.21

The value obtained for the calculated density is 4.31 g cm⁻³. For the total energy, the calculation gives -7.27 eV per atom. As for the uncorrected formation energy: -1106 meV/atom.

---

## MnTe2Os (PBE-GGA)

Data for crystalline MnTe2Os at its relaxed geometry.

Cell lengths 3.3178, 3.3178, 23.7689 Å; angles 90.00, 90.00, 120.00 degrees
Closest atoms and distances in Å follow each position.
Space group R-3m (No. 166, hexagonal axes)
Symmetry-distinct sites (fractional):
Mn: 0.0000 0.0000 0.0000  6 Te 2.72
Te: 0.0000 0.0000 0.2522  3 Mn 2.72, 3 Os 2.79
Os: 0.0000 0.0000 0.5000  6 Te 2.79

The value obtained for the calculated density is 11.00 g cm⁻³. For the total energy, the calculation gives -6.05 eV per atom. As for the uncorrected formation energy: 619 meV/atom.

---

## GaMo3Au (PBE-GGA)

Data for crystalline GaMo3Au at its relaxed geometry.

Cell lengths 4.8542, 4.8542, 4.8542 Å; angles 90.00, 90.00, 90.00 degrees
Closest atoms and distances in Å follow each position.
Space group Pm-3m (No. 221)
Symmetry-distinct sites (fractional):
Ga: 0.0000 0.0000 0.0000  12 Mo 3.43
Mo: 0.0000 0.5000 0.5000  2 Au 2.43
Au: 0.5000 0.5000 0.5000  6 Mo 2.43

The value obtained for the calculated density is 8.05 g cm⁻³. For the total energy, the calculation gives -5.58 eV per atom. As for the energy of formation from the pure elements: 2.184 eV/atom.

---

## PrNd3Al8 (PBE-GGA)

Data for crystalline PrNd3Al8 at its relaxed geometry.

Cell lengths 5.6916, 5.6916, 27.9201 Å; angles 90.00, 90.00, 120.00 degrees
Closest atoms and distances in Å follow each position.
Space group R3m (No. 160, hexagonal axes)
Symmetry-distinct sites (fractional):
Pr: 0.0000 0.0000 0.0000  12 Al 3.34, 4 Nd 3.49
Nd: 0.0000 0.0000 0.3749  12 Al 3.34-3.35, 3 Pr 3.49, 1 Nd 3.49
Nd: 0.0000 0.0000 0.4998  12 Al 3.33-3.34, 4 Nd 3.49
Nd: 0.0000 0.0000 0.8749  12 Al 3.33-3.34, 3 Nd 3.49, 1 Pr 3.49
Al: 0.0000 0.0000 0.1874  6 Al 2.84
Al: 0.0000 0.0000 0.6875  6 Al 2.85
Al: 0.0002 0.5001 0.4376  6 Al 2.84-2.85
Al: 0.9999 0.4999 0.9372  6 Al 2.84-2.85

The value obtained for the calculated density is 5.02 g cm⁻³. For the total energy, the calculation gives -4.58 eV per atom. As for the energy of formation from the pure elements: -0.497 eV/atom.